1.
NpCuSb: relaxed, PBE.

total magnetic moment = 4.54 μB/f.u.
raw formation energy = -53.2 meV/atom

a = 4.4477 Å, b = 4.4477 Å, c = 6.7987 Å
α = 90.00°, β = 90.00°, γ = 90.00°
Atoms (fractional coordinates):
Cu  0.0000  0.0000  0.5000
Cu  0.5000  0.5000  0.5000
Sb  0.5000  0.0000  0.7335
Sb  0.0000  0.5000  0.2665
Np  0.0000  0.5000  0.8060
Np  0.5000  0.0000  0.1940

2.
NiIr2Ru: relaxed, PBE.

total magnetic moment = 0.00 μB/f.u.
excess energy over the best structure of this formula in the dataset = 32 meV per atom

a = 4.6401 Å, b = 4.6401 Å, c = 4.6286 Å
α = 80.31°, β = 80.31°, γ = 33.75°
Atoms (fractional coordinates):
Ir  0.4992  0.4992  0.5027
Ir  0.0008  0.0008  0.9973
Ni  0.7500  0.7500  0.7500
Ru  0.2500  0.2500  0.2500

3.
TbNd8Hg2: relaxed, PBE.

total magnetic moment = 0.00 μB/f.u.
energy = -4.007 eV per atom

a = 5.7619 Å, b = 8.8847 Å, c = 8.8847 Å
α = 119.24°, β = 100.59°, γ = 100.59°
Atoms (fractional coordinates):
Hg  0.0000  0.3060  0.6940
Hg  0.0000  0.6940  0.3060
Nd  0.5000  0.7752  0.2248
Nd  0.6999  0.4000  0.4000
Nd  0.8967  0.6838  0.9089
Nd  0.3001  0.6000  0.6000
Nd  0.1033  0.3162  0.0911
Nd  0.5000  0.2248  0.7752
Nd  0.1033  0.0911  0.3162
Nd  0.8967  0.9089  0.6838
Tb  0.5000  0.0000  0.0000

4.
KInGe: relaxed, PBE.

total magnetic moment = 0.00 μB/f.u.
energy = -2.873 eV per atom

a = 6.8271 Å, b = 3.9134 Å, c = 15.0116 Å
α = 90.00°, β = 90.00°, γ = 90.00°
Atoms (fractional coordinates):
Ge  0.1312  0.7500  0.9936
Ge  0.6312  0.7500  0.5064
Ge  0.8688  0.2500  0.0064
Ge  0.3688  0.2500  0.4936
K  0.9295  0.2500  0.3703
K  0.4295  0.2500  0.1297
K  0.0705  0.7500  0.6297
K  0.5705  0.7500  0.8703
In  0.9422  0.7500  0.1579
In  0.5578  0.2500  0.6579
In  0.0578  0.2500  0.8421
In  0.4422  0.7500  0.3421

5.
ScRu2: relaxed, PBE.

total magnetic moment = 0.00 μB/f.u.
energy = -8.386 eV per atom

a = 5.0686 Å, b = 5.0686 Å, c = 5.0686 Å
α = 145.55°, β = 139.19°, γ = 54.44°
Atoms (fractional coordinates):
Ru  0.6772  0.6772  0.0000
Ru  0.3228  0.3228  0.0000
Sc  0.0000  0.0000  0.0000

6.
PmNd5Tm12: relaxed, PBE.

total magnetic moment = 0.00 μB/f.u.
energy = -4.470 eV per atom

a = 11.3842 Å, b = 10.3056 Å, c = 5.8841 Å
α = 90.00°, β = 90.00°, γ = 56.47°
Atoms (fractional coordinates):
Tm  0.3211  0.0000  0.0520
Tm  0.8221  0.0000  0.4479
Tm  0.6789  0.0000  0.9480
Tm  0.4893  0.6665  0.4505
Tm  0.3438  0.6666  0.9505
Tm  0.0104  0.3334  0.9505
Tm  0.6562  0.3334  0.0495
Tm  0.1779  0.0000  0.5521
Tm  0.9896  0.6666  0.0495
Tm  0.8442  0.6665  0.5495
Tm  0.5107  0.3335  0.5495
Tm  0.1558  0.3335  0.4505
Nd  0.6658  0.6685  0.0000
Nd  0.8341  0.3317  0.5000
Nd  0.3342  0.3315  0.0000
Nd  0.5000  0.0000  0.5000
Nd  0.1659  0.6683  0.5000
Pm  0.0000  0.0000  0.0000

7.
ZrAgOs: relaxed, PBE.

total magnetic moment = 0.00 μB/f.u.
excess energy over the best structure of this formula in the dataset = 0 meV per atom

a = 5.2958 Å, b = 5.2960 Å, c = 3.3989 Å
α = 71.28°, β = 71.29°, γ = 37.43°
Atoms (fractional coordinates):
Zr  0.6810  0.6810  0.3190
Os  0.3220  0.3220  0.6780
Ag  0.9970  0.9970  0.0030

8.
Dy3Zn3Si: relaxed, PBE.

total magnetic moment = 0.00 μB/f.u.
raw formation energy = -428.7 meV/atom

a = 4.1631 Å, b = 3.9683 Å, c = 9.7899 Å
α = 101.69°, β = 102.28°, γ = 90.00°
Atoms (fractional coordinates):
Dy  0.6900  0.1900  0.3801
Dy  0.9932  0.9932  0.9864
Dy  0.3156  0.8156  0.6312
Si  0.4351  0.4351  0.8702
Zn  0.5647  0.5647  0.1293
Zn  0.1415  0.6415  0.2830
Zn  0.8599  0.3599  0.7198

9.
Ta2TlTc: relaxed, PBE.

total magnetic moment = 0.00 μB/f.u.
excess energy over the best structure of this formula in the dataset = 105 meV per atom

a = 5.3949 Å, b = 5.3949 Å, c = 4.7272 Å
α = 67.68°, β = 67.68°, γ = 35.39°
Atoms (fractional coordinates):
Ta  0.9889  0.9889  0.0144
Ta  0.2364  0.2364  0.2545
Tc  0.5148  0.5148  0.4997
Tl  0.7599  0.7599  0.7313

10.
Cs2TcGeO6: relaxed, PBE.

total magnetic moment = 0.06 μB/f.u.
raw formation energy = -1295.2 meV/atom

a = 5.4876 Å, b = 5.4876 Å, c = 6.8120 Å
α = 66.25°, β = 66.24°, γ = 90.00°
Atoms (fractional coordinates):
Cs  0.2500  0.7500  0.5000
Cs  0.7500  0.2500  0.5000
O  0.1606  0.1606  0.6787
O  0.7367  0.2627  0.0000
O  0.2633  0.7373  0.0000
O  0.8394  0.8394  0.3213
O  0.2628  0.2633  0.0000
O  0.7372  0.7367  0.0001
Ge  0.5000  0.5000  0.0000
Tc  0.0000  0.0000  0.0000

11.
KTa2Sb: relaxed, PBE.

total magnetic moment = 0.00 μB/f.u.
raw formation energy = 349.8 meV/atom

a = 3.1078 Å, b = 3.1078 Å, c = 10.3421 Å
α = 90.00°, β = 90.00°, γ = 105.30°
Atoms (fractional coordinates):
Ta  0.5000  0.5000  0.1969
Ta  0.0000  0.0000  0.0012
K  0.0000  0.0000  0.5077
Sb  0.5000  0.5000  0.7942

12.
Ca2In12Ag: relaxed, PBE.

total magnetic moment = 0.00 μB/f.u.
energy = -2.771 eV per atom

a = 6.9136 Å, b = 6.9136 Å, c = 17.4753 Å
α = 90.00°, β = 90.00°, γ = 90.00°
Atoms (fractional coordinates):
In  0.2502  0.7502  0.9113
In  0.0000  0.0000  0.8139
In  0.0000  0.0000  0.1861
In  0.3365  0.8365  0.4299
In  0.7498  0.2498  0.9113
In  0.3365  0.1635  0.5701
In  0.2498  0.7498  0.0887
In  0.8365  0.3365  0.5701
In  0.5000  0.5000  0.3454
In  0.1635  0.3365  0.4299
In  0.7502  0.2502  0.0887
In  0.1635  0.6635  0.5701
In  0.6635  0.1635  0.4299
In  0.5000  0.5000  0.8139
In  0.8365  0.6635  0.4299
In  0.6635  0.8365  0.5701
In  0.2498  0.2502  0.9113
In  0.5000  0.5000  0.1861
In  0.7502  0.7498  0.9113
In  0.0000  0.0000  0.3454
In  0.2502  0.2498  0.0887
In  0.0000  0.0000  0.6546
In  0.5000  0.5000  0.6546
In  0.7498  0.7502  0.0887
Ag  0.0000  0.5000  0.0000
Ag  0.5000  0.0000  0.0000
Ca  0.0000  0.5000  0.2441
Ca  0.5000  0.0000  0.7559
Ca  0.5000  0.0000  0.2441
Ca  0.0000  0.5000  0.7559